Computed, not measured: a relaxed YSc2AgH crystal at the PBE level of DFT.

Values from the calculation:
Electronic total energy, eV/atom: -5.236
Total magnetic moment, μB per cell: 2.35
Space group: P4/mmm, No. 123

Cell lengths 4.4709, 4.4709, 4.8304 Å; angles 90.00, 90.00, 90.00 degrees
Fractional coordinates of all 5 atoms:
Y: 0.0000 0.0000 0.0000
Sc: 0.0000 0.5000 0.5000
Sc: 0.5000 0.0000 0.5000
Ag: 0.5000 0.5000 0.0000
H: 0.0000 0.0000 0.5000